Below is NaHg5Pb4 after structural relaxation, with properties calculated at the PBE level.

abc: 3.7472 3.7472 19.5711
angles: 90.00 90.00 90.00
Fractional positions:
Na (0.0000, 0.0000, 0.0000)
Hg (0.5000, 0.5000, 0.0913)
Hg (0.5000, 0.5000, 0.2957)
Hg (0.5000, 0.5000, 0.5000)
Hg (0.5000, 0.5000, 0.7043)
Hg (0.5000, 0.5000, 0.9087)
Pb (0.0000, 0.0000, 0.1959)
Pb (0.0000, 0.0000, 0.3952)
Pb (0.0000, 0.0000, 0.6048)
Pb (0.0000, 0.0000, 0.8041)

Computed properties:
- E: -1.81 eV per atom
- Magnetization: 0.00 μB per atom
- Formation energy from the elements: -42 meV per atom

***

Below is Na2Hg2Pb after structural relaxation, with properties calculated at the PBE level.

abc: 8.8977 8.8977 3.4075
angles: 90.00 90.00 90.00
Fractional positions:
Pb (0.0000, 0.0000, 0.0000)
Pb (0.5000, 0.5000, 0.0000)
Na (0.3600, 0.8600, 0.0000)
Na (0.8600, 0.6400, 0.0000)
Na (0.6400, 0.1400, 0.0000)
Na (0.1400, 0.3600, 0.0000)
Hg (0.1556, 0.6556, 0.5000)
Hg (0.6556, 0.8444, 0.5000)
Hg (0.8444, 0.3444, 0.5000)
Hg (0.3444, 0.1556, 0.5000)

Computed properties:
- E: -1.53 eV per atom
- Magnetization: 0.00 μB per atom
- Formation energy from the elements: -136 meV per atom

***

Below is NaHg2Pb8 after structural relaxation, with properties calculated at the PBE level.

abc: 6.3459 9.5041 9.5041
angles: 39.23 109.86 109.86
Fractional positions:
Na (0.0000, 0.0000, 0.0000)
Hg (0.9061, 0.2613, 0.2613)
Hg (0.0939, 0.7387, 0.7387)
Pb (0.2956, 0.1543, 0.6517)
Pb (0.2956, 0.6517, 0.1543)
Pb (0.7044, 0.8457, 0.3483)
Pb (0.2297, 0.5887, 0.5887)
Pb (0.7044, 0.3483, 0.8457)
Pb (0.3567, 0.2095, 0.2095)
Pb (0.6433, 0.7905, 0.7905)
Pb (0.7703, 0.4113, 0.4113)

Computed properties:
- E: -2.84 eV per atom
- Magnetization: 0.00 μB per atom
- Formation energy from the elements: 27 meV per atom

***

Below is Na6Hg8Pb after structural relaxation, with properties calculated at the PBE level.

abc: 8.9185 8.9186 8.0398
angles: 56.17 56.25 60.00
Fractional positions:
Na (0.4126, 0.1454, 0.7951)
Na (0.8557, 0.3523, 0.2037)
Na (0.3530, 0.5869, 0.2046)
Na (0.6470, 0.4131, 0.7954)
Na (0.1443, 0.6477, 0.7963)
Na (0.5874, 0.8546, 0.2049)
Hg (0.5974, 0.1509, 0.3171)
Hg (0.8493, 0.0670, 0.6819)
Hg (0.0656, 0.4036, 0.6826)
Hg (0.7315, 0.7323, 0.8052)
Hg (0.2685, 0.2677, 0.1948)
Hg (0.9344, 0.5964, 0.3174)
Hg (0.1507, 0.9330, 0.3181)
Hg (0.4026, 0.8491, 0.6829)
Pb (0.0000, 0.0000, 0.0000)

Computed properties:
- E: -1.12 eV per atom
- Magnetization: 0.00 μB per atom
- Formation energy from the elements: -180 meV per atom

***

Please write out number 2 again, unchanged.
Below is Na2Hg2Pb after structural relaxation, with properties calculated at the PBE level.

abc: 8.8977 8.8977 3.4075
angles: 90.00 90.00 90.00
Fractional positions:
Pb (0.0000, 0.0000, 0.0000)
Pb (0.5000, 0.5000, 0.0000)
Na (0.3600, 0.8600, 0.0000)
Na (0.8600, 0.6400, 0.0000)
Na (0.6400, 0.1400, 0.0000)
Na (0.1400, 0.3600, 0.0000)
Hg (0.1556, 0.6556, 0.5000)
Hg (0.6556, 0.8444, 0.5000)
Hg (0.8444, 0.3444, 0.5000)
Hg (0.3444, 0.1556, 0.5000)

Computed properties:
- E: -1.53 eV per atom
- Magnetization: 0.00 μB per atom
- Formation energy from the elements: -136 meV per atom

***

- Which formula does entry 2 have?
  Na2Hg2Pb

***

- What is the magnetization in the second record?
  0.00 μB per atom

***

- Among the records above, which one has the lowest formation energy from the elements?
  Na6Hg8Pb